# 1
Material: LaCu2AgMo
Method: DFT, SCAN
State: PBEsol geometry

Summary:
Its crystal system is tetragonal. As for the symmetry: P4/mmm, No. 123. Its formation energy from the elements is 8.9 eV per formula unit.

a b c (Å): 4.9116 4.9116 5.3052
angles (deg): 90.00 90.00 90.00
Atoms (fractional coordinates):
1 La 0.0000 0.0000 0.0000
2 Cu 0.0000 0.5000 0.0000
3 Cu 0.5000 0.0000 0.0000
4 Ag 0.0000 0.0000 0.5000
5 Mo 0.5000 0.5000 0.5000

# 2
Material: LiYIr4
Method: DFT, SCAN
State: PBEsol geometry

Summary:
Its crystal system is cubic. As for the symmetry: F-43m, No. 216. Its formation energy from the elements is -3.6 eV per formula unit.

a b c (Å): 5.2096 5.2096 5.2096
angles (deg): 60.00 60.00 60.00
Atoms (fractional coordinates):
1 Li 0.0000 0.0000 0.0000
2 Y 0.2500 0.2500 0.2500
3 Ir 0.1241 0.6253 0.6253
4 Ir 0.6253 0.1241 0.6253
5 Ir 0.6253 0.6253 0.1241
6 Ir 0.6253 0.6253 0.6253

# 3
Material: Cs2ZrFe
Method: DFT, SCAN
State: PBEsol geometry

Summary:
Its crystal system is cubic. As for the symmetry: Fm-3m, No. 225. Its formation energy from the elements is 6.9 eV per formula unit.

a b c (Å): 5.7396 5.7396 5.7396
angles (deg): 60.00 60.00 60.00
Atoms (fractional coordinates):
1 Cs 0.2500 0.2500 0.2500
2 Cs 0.7500 0.7500 0.7500
3 Zr 0.0000 0.0000 0.0000
4 Fe 0.5000 0.5000 0.5000